Compound: Rb2HgIO
Source: Alexandria
Functional: PBE
Structure: relaxed

Lattice parameters (Å, degrees): 6.0479 6.0479 4.6166 90.00 90.00 90.00
Last column: nearest neighbours and their distance in Å.
Atoms (fractional coordinates):
1 Hg 0.0000 0.0000 0.5000  2 O 2.31
2 I 0.5000 0.5000 0.5000  8 Rb 3.80
3 O 0.0000 0.0000 0.0000  2 Hg 2.31
4 Rb 0.5000 0.0000 0.0000  2 O 3.02
5 Rb 0.0000 0.5000 0.0000  2 O 3.02

Computed properties:
VASP energy   -2.747 eV/atom
Space-group type   P4/mmm, No. 123
ΔE_f (raw)   -1.00 eV/atom


Compound: RbHgIO6
Source: Alexandria
Functional: PBE
Structure: relaxed

Lattice parameters (Å, degrees): 5.5091 5.8234 6.2515 92.08 91.10 58.10
Last column: nearest neighbours and their distance in Å.
Atoms (fractional coordinates):
1 Hg 0.6695 0.6653 0.5000  4 O 2.13-2.15
2 O 0.0345 0.3773 0.3166  1 I 1.95, 1 Hg 2.13
3 O 0.0346 0.5881 0.6834  1 I 1.95, 1 Hg 2.13
4 O 0.5934 0.3375 0.6995  1 I 1.85
5 O 0.5932 0.0691 0.3003  1 I 1.85
6 O 0.3499 0.6109 0.3457  1 I 1.95, 1 Hg 2.15
7 O 0.3499 0.0392 0.6542  1 I 1.95, 1 Hg 2.15
8 I 0.3486 0.3257 0.5000  6 O 1.85-1.95
9 Rb 0.0261 0.9870 0.0000  6 O 2.89-2.98

Computed properties:
VASP energy   -4.012 eV/atom
Space-group type   C2, No. 5
ΔE_f (raw)   -0.39 eV/atom


Compound: Rb2HgI6O
Source: Alexandria
Functional: PBE
Structure: relaxed

Lattice parameters (Å, degrees): 8.1395 8.1395 8.1397 60.00 60.00 90.00
Last column: nearest neighbours and their distance in Å.
Atoms (fractional coordinates):
1 I 0.7544 0.2456 0.0000  1 Hg 2.83, 1 O 2.93
2 I 0.2456 0.7544 0.0000  1 Hg 2.83, 1 O 2.93
3 I 0.2933 0.2933 0.4134  1 O 2.38
4 I 0.2456 0.2456 0.0000  1 Hg 2.83, 1 O 2.93
5 I 0.7544 0.7544 0.0000  1 Hg 2.83, 1 O 2.93
6 I 0.7067 0.7067 0.5866  1 O 2.38
7 Rb 0.7500 0.2500 0.5000  12 I 4.07-4.10
8 Rb 0.2500 0.7500 0.5000  12 I 4.07-4.10
9 O 0.5000 0.5000 0.0000  2 I 2.38
10 Hg 0.0000 0.0000 0.0000  4 I 2.83

Computed properties:
VASP energy   -2.126 eV/atom
Space-group type   I4/mmm, No. 139
ΔE_f (raw)   -0.48 eV/atom


Compound: RbHgI2O
Source: Alexandria
Functional: PBE
Structure: relaxed

Lattice parameters (Å, degrees): 7.1175 7.1175 5.6238 90.00 90.00 90.00
Last column: nearest neighbours and their distance in Å.
Atoms (fractional coordinates):
1 Rb 0.0000 0.0000 0.0000  2 O 2.81
2 I 0.0000 0.5000 0.0000  2 Rb 3.56
3 I 0.5000 0.0000 0.0000  2 Rb 3.56
4 Hg 0.5000 0.5000 0.5000  8 I 4.54, 4 O 5.03
5 O 0.0000 0.0000 0.5000  2 Rb 2.81

Computed properties:
VASP energy   -1.669 eV/atom
Distance to the lowest polymorph of the same formula   650 meV/atom
Space-group type   P4/mmm, No. 123
ΔE_f (raw)   0.20 eV/atom


Compound: Rb2HgIO6
Source: Alexandria
Functional: PBE
Structure: relaxed

Lattice parameters (Å, degrees): 6.1151 6.1151 6.1151 60.00 60.00 60.00
Last column: nearest neighbours and their distance in Å.
Atoms (fractional coordinates):
1 O 0.7788 0.2212 0.7788  1 I 1.91
2 O 0.2212 0.2212 0.7788  1 I 1.91
3 O 0.7788 0.2212 0.2212  1 I 1.91
4 O 0.2212 0.7788 0.2212  1 I 1.91
5 O 0.7788 0.7788 0.2212  1 I 1.91
6 O 0.2212 0.7788 0.7788  1 I 1.91
7 Rb 0.2500 0.2500 0.2500  12 O 3.07
8 Rb 0.7500 0.7500 0.7500  12 O 3.07
9 Hg 0.5000 0.5000 0.5000  6 O 2.41
10 I 0.0000 0.0000 0.0000  6 O 1.91

Computed properties:
VASP energy   -3.991 eV/atom
Space-group type   Fm-3m, No. 225
ΔE_f (raw)   -0.64 eV/atom


Compound: RbHgI2O
Source: Alexandria
Functional: PBE
Structure: relaxed

Lattice parameters (Å, degrees): 6.2745 6.2745 4.2486 90.00 90.00 90.00
Last column: nearest neighbours and their distance in Å.
Atoms (fractional coordinates):
1 O 0.0000 0.0000 0.5000  2 Hg 2.12
2 I 0.5000 0.0000 0.0000  2 Hg 3.14
3 I 0.0000 0.5000 0.0000  2 Hg 3.14
4 Rb 0.5000 0.5000 0.5000  8 I 3.79
5 Hg 0.0000 0.0000 0.0000  2 O 2.12

Computed properties:
VASP energy   -2.319 eV/atom
Distance to the lowest polymorph of the same formula   0 meV/atom
Space-group type   P4/mmm, No. 123
ΔE_f (raw)   -0.45 eV/atom


Compound: RbHg2IO2
Source: Alexandria
Functional: PBE
Structure: relaxed

Lattice parameters (Å, degrees): 6.9542 7.8613 7.8892 115.17 90.00 90.00
Last column: nearest neighbours and their distance in Å.
Atoms (fractional coordinates):
1 O 0.9640 0.7284 0.8303  2 Hg 2.00-2.20
2 O 0.0360 0.2716 0.1697  2 Hg 2.00-2.20
3 O 0.4640 0.2716 0.1697  2 Hg 2.00-2.20
4 O 0.5360 0.7284 0.8303  2 Hg 2.00-2.20
5 I 0.7500 0.1702 0.6414  1 Hg 2.71
6 I 0.2500 0.8298 0.3586  1 Hg 2.71
7 Rb 0.2500 0.3008 0.8909  2 O 2.75
8 Rb 0.7500 0.6992 0.1091  2 O 2.75
9 Hg 0.7500 0.2518 0.1851  2 O 2.00
10 Hg 0.7500 0.8828 0.7455  2 O 2.20
11 Hg 0.2500 0.1172 0.2545  2 O 2.20
12 Hg 0.2500 0.7482 0.8149  2 O 2.00

Computed properties:
VASP energy   -2.731 eV/atom
Space-group type   P2_1/m, No. 11
ΔE_f (raw)   -0.56 eV/atom


Compound: ReHgIO2
Source: Alexandria
Functional: PBE
Structure: relaxed

Lattice parameters (Å, degrees): 4.1460 4.1460 6.6644 90.00 90.00 90.00
Last column: nearest neighbours and their distance in Å.
Atoms (fractional coordinates):
1 O 0.5000 0.0000 0.0000  2 Hg 2.07
2 O 0.0000 0.5000 0.0000  2 Hg 2.07
3 Re 0.5000 0.5000 0.5000  4 I 2.93
4 I 0.0000 0.0000 0.5000  4 Re 2.93
5 Hg 0.0000 0.0000 0.0000  4 O 2.07

Computed properties:
VASP energy   -3.528 eV/atom
Distance to the lowest polymorph of the same formula   1697 meV/atom
Space-group type   P4/mmm, No. 123
ΔE_f (raw)   1.31 eV/atom


> Which formula does entry 5 have?

Rb2HgIO6


> Which formula does entry 6 have?

RbHgI2O


> Which value of VASP energy does entry 5 give?

-3.991 eV/atom


Repeat the eighth record exactly.
Compound: ReHgIO2
Source: Alexandria
Functional: PBE
Structure: relaxed

Lattice parameters (Å, degrees): 4.1460 4.1460 6.6644 90.00 90.00 90.00
Last column: nearest neighbours and their distance in Å.
Atoms (fractional coordinates):
1 O 0.5000 0.0000 0.0000  2 Hg 2.07
2 O 0.0000 0.5000 0.0000  2 Hg 2.07
3 Re 0.5000 0.5000 0.5000  4 I 2.93
4 I 0.0000 0.0000 0.5000  4 Re 2.93
5 Hg 0.0000 0.0000 0.0000  4 O 2.07

Computed properties:
VASP energy   -3.528 eV/atom
Distance to the lowest polymorph of the same formula   1697 meV/atom
Space-group type   P4/mmm, No. 123
ΔE_f (raw)   1.31 eV/atom